# 1
# Nd2ScSi3Pd4, relaxed, DFT PBE-GGA
# Uncorrected formation energy ... -8.97 eV/f.u.
# Spin magnetization ... 0.00 μB/atom
# DOS(E_F) ... 6.96 states/eV/f.u.
# Total DFT energy (no corrections) ... -6.188 eV/atom
data_Nd2ScSi3Pd4
_symmetry_space_group_name_H-M 'P -4 m 2'
_symmetry_Int_Tables_number 115
_symmetry_space_group_name_Hall 'P -4 -2'
_cell_length_a 4.278
_cell_length_b 4.278
_cell_length_c 10.412
_cell_angle_alpha 90.00
_cell_angle_beta 90.00
_cell_angle_gamma 90.00
loop_
_atom_site_label
_atom_site_type_symbol
_atom_site_fract_x
_atom_site_fract_y
_atom_site_fract_z
Nd1 Nd 0.000 0.500 0.235
Sc1 Sc 0.000 0.000 0.500
Si1 Si 0.000 0.500 0.877
Si2 Si 0.500 0.500 0.500
Pd1 Pd 0.000 0.000 0.000
Pd2 Pd 0.000 0.500 0.646
Pd3 Pd 0.500 0.500 0.000

# 2
# AgOsCl2, relaxed, DFT PBE-GGA
# Uncorrected formation energy ... 3.89 eV/f.u.
# Spin magnetization ... 0.18 μB/atom
# DOS(E_F) ... 3.13 states/eV/f.u.
# Total DFT energy (no corrections) ... -3.472 eV/atom
data_AgOsCl2
_symmetry_space_group_name_H-M 'P 4/m m m'
_symmetry_Int_Tables_number 123
_symmetry_space_group_name_Hall '-P 4 2'
_cell_length_a 4.707
_cell_length_b 4.707
_cell_length_c 3.060
_cell_angle_alpha 90.00
_cell_angle_beta 90.00
_cell_angle_gamma 90.00
loop_
_atom_site_label
_atom_site_type_symbol
_atom_site_fract_x
_atom_site_fract_y
_atom_site_fract_z
Ag1 Ag 0.000 0.000 0.000
Os1 Os 0.500 0.500 0.000
Cl1 Cl 0.000 0.500 0.500